1.
## MgAs2Ir (PBE)

Data for a relaxed MgAs2Ir crystal.

abc: 5.028 5.028 5.028
angles: 133.02 133.02 68.63
Fractional positions:
As 0.000 0.000 0.000
As 0.250 0.750 0.500
Ir 0.500 0.500 0.000
Mg 0.750 0.250 0.500

Properties
The calculation puts the calculated formation energy at 0.004 eV/atom. Its crystal system is tetragonal. The size of the total moment is 0.00 μB/cell. The value obtained for the density of states at the Fermi level is 2.0 states/eV per cell.



2.
## LiCa3Pa2As6 (PBE)

Data for a relaxed LiCa3Pa2As6 crystal.

abc: 7.238 7.238 7.219
angles: 99.52 99.52 120.09
Fractional positions:
Li 0.000 0.000 0.000
Ca 0.161 0.839 0.500
Ca 0.839 0.161 0.500
Ca 0.500 0.500 0.500
Pa 0.333 0.667 0.000
Pa 0.667 0.333 0.000
As 0.923 0.578 0.768
As 0.732 0.732 0.230
As 0.077 0.422 0.232
As 0.578 0.923 0.768
As 0.268 0.268 0.770
As 0.422 0.077 0.232

Properties
The calculation puts the calculated formation energy at -1.004 eV/atom. Its crystal system is monoclinic. The size of the total moment is 0.00 μB/cell. The value obtained for the density of states at the Fermi level is 14.6 states/eV per cell.



3.
## ZrCl2O (PBE)

Data for a relaxed ZrCl2O crystal.

abc: 9.685 9.685 7.135
angles: 47.25 47.25 90.00
Fractional positions:
O 0.500 0.500 0.000
O 0.250 0.750 0.500
Zr 0.000 0.000 0.000
Zr 0.750 0.250 0.500
Cl 0.788 0.125 0.250
Cl 0.962 0.625 0.250
Cl 0.375 0.212 0.750
Cl 0.875 0.038 0.750

Properties
Its crystal system is tetragonal. The size of the total moment is 0.00 μB/cell. The value obtained for the density of states at the Fermi level is 0.0 states/eV per cell. The uncorrected formation energy comes out at -8.36 eV/f.u.



4.
## HPtRhS2 (PBE)

Data for a relaxed HPtRhS2 crystal.

abc: 4.403 5.285 4.403
angles: 90.00 90.00 90.00
Fractional positions:
H 0.500 0.500 0.500
S 0.000 0.000 0.500
S 0.500 0.000 0.000
Rh 0.000 0.000 0.000
Pt 0.000 0.500 0.000

Properties
Its crystal system is tetragonal. The calculation puts the total DFT energy (no corrections) at -3.7799 eV per atom. The size of the total moment is 0.00 μB/cell. The value obtained for the density of states at the Fermi level is 6.9 states/eV per cell.



5.
## SmHo3Er2Se6 (PBE)

Data for a relaxed SmHo3Er2Se6 crystal.

abc: 7.052 7.052 7.055
angles: 99.54 99.54 120.30
Fractional positions:
Sm 0.000 0.000 0.000
Ho 0.160 0.840 0.500
Ho 0.840 0.160 0.500
Ho 0.500 0.500 0.500
Er 0.335 0.665 0.000
Er 0.665 0.335 0.000
Se 0.916 0.573 0.746
Se 0.741 0.741 0.249
Se 0.084 0.427 0.254
Se 0.573 0.916 0.746
Se 0.259 0.259 0.751
Se 0.427 0.084 0.254

Properties
Its crystal system is monoclinic. The size of the total moment is 0.00 μB/cell. The value obtained for the density of states at the Fermi level is 5.2 states/eV per cell. The uncorrected formation energy comes out at -20.76 eV/f.u.



6.
## LiNpSnRh (PBE)

Data for a relaxed LiNpSnRh crystal.

abc: 4.745 4.745 4.745
angles: 60.00 60.00 60.00
Fractional positions:
Np 0.000 0.000 0.000
Rh 0.750 0.750 0.750
Sn 0.500 0.500 0.500
Li 0.250 0.250 0.250

Properties
The calculation puts the calculated formation energy at -0.275 eV/atom. Its crystal system is cubic. The size of the total moment is 3.50 μB/cell. The value obtained for the density of states at the Fermi level is 12.6 states/eV per cell.